First-principles (PBE-GGA) data for an optimized crystal structure of KAl2Mo, as listed in Alexandria via LeMat-Bulk.

Calculated values
Electronic total energy, eV/atom: -4.613
Space-group type: Pmmm
Energy of formation, eV/atom: 0.2406
Relative energy among the computed polymorphs, eV per atom: 0.000

The structure in POSCAR format:
```
KAl2Mo
1.0
2.8979 0.0000 0.0000
0.0000 3.7192 0.0000
0.0000 0.0000 8.1134
K Al Mo
1 2 1
Direct
0.0000 0.0000 0.0000 K
0.5000 0.5000 0.3315 Al
0.5000 0.5000 0.6685 Al
0.0000 0.0000 0.5000 Mo
```